# DyEr3Te4, relaxed, DFT PBE-GGA
data_DyEr3Te4
_chemical_formula_sum 'Dy2 Er6 Te8'
_cell_length_a 9.2466
_cell_length_b 7.8633
_cell_length_c 8.2189
_cell_angle_alpha 90.00
_cell_angle_beta 90.00
_cell_angle_gamma 90.00
_space_group_name_H-M_alt 'P 1'
_space_group_IT_number 1
_space_group_name_Hall 'P 1'
loop_
_atom_site_label
_atom_site_type_symbol
_atom_site_fract_x
_atom_site_fract_y
_atom_site_fract_z
Dy1 Dy 0.0000 0.1203 0.0000
Dy2 Dy 0.5000 0.8797 0.5000
Er1 Er 0.0000 0.8407 0.3655
Er2 Er 0.2000 0.7117 0.9974
Er3 Er 0.3000 0.2883 0.4974
Er4 Er 0.5000 0.1593 0.8655
Er5 Er 0.7000 0.2883 0.4974
Er6 Er 0.8000 0.7117 0.9974
Te1 Te 0.0000 0.2221 0.3585
Te2 Te 0.0000 0.8461 0.7390
Te3 Te 0.2245 0.3573 0.8493
Te4 Te 0.2755 0.6427 0.3493
Te5 Te 0.5000 0.1539 0.2390
Te6 Te 0.5000 0.7779 0.8585
Te7 Te 0.7245 0.6427 0.3493
Te8 Te 0.7755 0.3573 0.8493
# Crystal system   orthorhombic
# DFT total energy   -4.7810 eV/atom
# SG   Pmn2_1 (31)